[1]
A plane-wave DFT calculation with PBE was carried out for a relaxed structure of BeNiSb2.

Its crystal system is tetragonal. For the final energy, the calculation gives -4.0144 eV per atom. The value obtained for the size of the total moment is 0.00 Bohr magnetons per cell. For the calculated volume, the calculation gives 72.0 Å³ per cell. Its formation energy (no corrections) is 0.4237 eV per atom.

Lattice parameters (Å, degrees): 3.148 3.148 7.266 90.00 90.00 90.00
Space group P4/mmm (No. 123)
Unique sites:
1 Be 0.000 0.000 0.000 (multiplicity 1)
2 Ni 0.000 0.000 0.500 (multiplicity 1)
3 Sb 0.500 0.500 0.262 (multiplicity 2)



[2]
A plane-wave DFT calculation with PBE was carried out for a relaxed structure of Be3NiSb.

Its crystal system is cubic. For the final energy, the calculation gives -2.6622 eV per atom. The value obtained for the size of the total moment is 0.00 Bohr magnetons per cell. As for the relative energy among the computed polymorphs: 1120 meV per atom. For the calculated volume, the calculation gives 92.7 Å³ per cell. Its formation energy (no corrections) is 1.5543 eV per atom.

Lattice parameters (Å, degrees): 4.526 4.526 4.526 90.00 90.00 90.00
Space group Pm-3m (No. 221)
Unique sites:
1 Be 0.000 0.000 0.500 (multiplicity 3)
2 Ni 0.500 0.500 0.500 (multiplicity 1)
3 Sb 0.000 0.000 0.000 (multiplicity 1)



[3]
A plane-wave DFT calculation with PBE was carried out for a relaxed structure of BeNiSb.

Its crystal system is tetragonal. For the final energy, the calculation gives -4.4324 eV per atom. The value obtained for the size of the total moment is 0.00 Bohr magnetons per cell. As for the relative energy among the computed polymorphs: 229 meV per atom. For the calculated volume, the calculation gives 88.2 Å³ per cell. Its formation energy (no corrections) is 0.1109 eV per atom.

Lattice parameters (Å, degrees): 3.514 3.514 7.143 90.00 90.00 90.00
Space group I4mm (No. 107)
Unique sites:
1 Be 0.000 0.000 0.000 (multiplicity 2)
2 Ni 0.000 0.000 0.313 (multiplicity 2)
3 Sb 0.000 0.000 0.665 (multiplicity 2)



[4]
A plane-wave DFT calculation with PBE was carried out for a relaxed structure of BeNi15Sb4.

Its crystal system is tetragonal. For the final energy, the calculation gives -5.4972 eV per atom. The value obtained for the size of the total moment is 0.36 Bohr magnetons per cell. For the calculated volume, the calculation gives 248.0 Å³ per cell. Its formation energy (no corrections) is -0.1504 eV per atom.

Lattice parameters (Å, degrees): 3.715 3.715 17.973 90.00 90.00 90.00
Space group P4/mmm (No. 123)
Unique sites:
1 Be 0.000 0.000 0.000 (multiplicity 1)
2 Ni 0.000 0.500 0.084 (multiplicity 4)
3 Ni 0.000 0.500 0.293 (multiplicity 4)
4 Ni 0.000 0.500 0.500 (multiplicity 2)
5 Ni 0.500 0.500 0.000 (multiplicity 1)
6 Ni 0.500 0.500 0.192 (multiplicity 2)
7 Ni 0.500 0.500 0.397 (multiplicity 2)
8 Sb 0.000 0.000 0.185 (multiplicity 2)
9 Sb 0.000 0.000 0.395 (multiplicity 2)



[5]
A plane-wave DFT calculation with PBE was carried out for a relaxed structure of Be4NiSb.

Its crystal system is cubic. For the final energy, the calculation gives -3.9394 eV per atom. The value obtained for the size of the total moment is 0.00 Bohr magnetons per cell. For the calculated volume, the calculation gives 265.3 Å³ per cell. Its formation energy (no corrections) is 0.1954 eV per atom.

Lattice parameters (Å, degrees): 6.426 6.426 6.426 90.00 90.00 90.00
Space group F-43m (No. 216)
Unique sites:
1 Be 0.123 0.123 0.377 (multiplicity 16)
2 Ni 0.250 0.250 0.750 (multiplicity 4)
3 Sb 0.000 0.000 0.000 (multiplicity 4)



[6]
A plane-wave DFT calculation with PBE was carried out for a relaxed structure of BeNiSb2.

Its crystal system is tetragonal. For the final energy, the calculation gives -3.9954 eV per atom. The value obtained for the size of the total moment is 0.00 Bohr magnetons per cell. For the calculated volume, the calculation gives 147.1 Å³ per cell. Its formation energy (no corrections) is 0.4427 eV per atom.

Lattice parameters (Å, degrees): 3.739 3.739 10.526 90.00 90.00 90.00
Space group I-4m2 (No. 119)
Unique sites:
1 Be 0.000 0.000 0.000 (multiplicity 2)
2 Ni 0.000 0.500 0.750 (multiplicity 2)
3 Sb 0.000 0.000 0.500 (multiplicity 2)
4 Sb 0.000 0.500 0.250 (multiplicity 2)



[7]
A plane-wave DFT calculation with PBE was carried out for a relaxed structure of BeNiSb2.

Its crystal system is monoclinic. For the final energy, the calculation gives -4.5513 eV per atom. The value obtained for the size of the total moment is 0.00 Bohr magnetons per cell. For the calculated volume, the calculation gives 158.2 Å³ per cell. Its formation energy (no corrections) is -0.1133 eV per atom.

Lattice parameters (Å, degrees): 6.650 3.839 6.594 90.00 110.00 90.00
Space group Cm (No. 8)
Unique sites:
1 Be 0.000 0.000 0.000 (multiplicity 2)
2 Ni 0.168 0.500 0.004 (multiplicity 2)
3 Sb 0.249 0.000 0.752 (multiplicity 2)
4 Sb 0.419 0.000 0.252 (multiplicity 2)



[8]
A plane-wave DFT calculation with PBE was carried out for a relaxed structure of BeNiSb.

Its crystal system is hexagonal. For the final energy, the calculation gives -4.4352 eV per atom. The value obtained for the size of the total moment is 0.00 Bohr magnetons per cell. As for the relative energy among the computed polymorphs: 226 meV per atom. For the calculated volume, the calculation gives 44.1 Å³ per cell. Its formation energy (no corrections) is 0.1081 eV per atom.

Lattice parameters (Å, degrees): 3.8027 3.8027 3.5199 90.00 90.00 120.00
Space group P-6m2 (No. 187)
Unique sites:
1 Be 0.0000 0.0000 0.0000 (multiplicity 1)
2 Ni 0.6667 0.3333 0.0000 (multiplicity 1)
3 Sb 0.3333 0.6667 0.5000 (multiplicity 1)



[9]
A plane-wave DFT calculation with PBE was carried out for a relaxed structure of BeNiSb.

Its crystal system is cubic. For the final energy, the calculation gives -4.6615 eV per atom. The value obtained for the size of the total moment is 0.00 Bohr magnetons per cell. As for the relative energy among the computed polymorphs: 0 meV per atom. For the calculated volume, the calculation gives 184.5 Å³ per cell. Its formation energy (no corrections) is -0.1182 eV per atom.

Lattice parameters (Å, degrees): 5.693 5.693 5.693 90.00 90.00 90.00
Space group F-43m (No. 216)
Unique sites:
1 Be 0.000 0.000 0.000 (multiplicity 4)
2 Ni 0.250 0.250 0.750 (multiplicity 4)
3 Sb 0.000 0.000 0.500 (multiplicity 4)



[10]
A plane-wave DFT calculation with PBE was carried out for a relaxed structure of BeNiSb2.

Its crystal system is orthorhombic. For the final energy, the calculation gives -4.0042 eV per atom. The value obtained for the size of the total moment is 0.00 Bohr magnetons per cell. For the calculated volume, the calculation gives 72.4 Å³ per cell. Its formation energy (no corrections) is 0.4339 eV per atom.

Lattice parameters (Å, degrees): 3.627 3.984 5.010 90.00 90.00 90.00
Space group Pmmm (No. 47)
Unique sites:
1 Be 0.000 0.000 0.000 (multiplicity 1)
2 Ni 0.000 0.500 0.500 (multiplicity 1)
3 Sb 0.500 0.000 0.500 (multiplicity 1)
4 Sb 0.500 0.500 0.000 (multiplicity 1)



[11]
A plane-wave DFT calculation with PBE was carried out for a relaxed structure of BeNiSb2.

Its crystal system is tetragonal. For the final energy, the calculation gives -4.1659 eV per atom. The value obtained for the size of the total moment is 0.00 Bohr magnetons per cell. For the calculated volume, the calculation gives 363.7 Å³ per cell. Its formation energy (no corrections) is 0.2721 eV per atom.

Lattice parameters (Å, degrees): 5.849 5.849 10.633 90.00 90.00 90.00
Space group I-42d (No. 122)
Unique sites:
1 Be 0.000 0.000 0.000 (multiplicity 4)
2 Ni 0.000 0.000 0.500 (multiplicity 4)
3 Sb 0.245 0.250 0.125 (multiplicity 8)



[12]
A plane-wave DFT calculation with PBE was carried out for a relaxed structure of BeNiSb2.

Its crystal system is monoclinic. For the final energy, the calculation gives -4.2573 eV per atom. The value obtained for the size of the total moment is 0.00 Bohr magnetons per cell. For the calculated volume, the calculation gives 145.5 Å³ per cell. Its formation energy (no corrections) is 0.1807 eV per atom.

Lattice parameters (Å, degrees): 6.433 3.762 6.392 90.00 109.91 90.00
Space group C2/m (No. 12)
Unique sites:
1 Be 0.000 0.000 0.000 (multiplicity 2)
2 Ni 0.000 0.500 0.500 (multiplicity 2)
3 Sb 0.247 0.000 0.745 (multiplicity 4)



[13]
A plane-wave DFT calculation with PBE was carried out for a relaxed structure of BeNi4Sb.

Its crystal system is cubic. For the final energy, the calculation gives -5.0456 eV per atom. The value obtained for the size of the total moment is 0.00 Bohr magnetons per cell. For the calculated volume, the calculation gives 303.6 Å³ per cell. Its formation energy (no corrections) is 0.1168 eV per atom.

Lattice parameters (Å, degrees): 6.721 6.721 6.721 90.00 90.00 90.00
Space group F-43m (No. 216)
Unique sites:
1 Be 0.000 0.000 0.000 (multiplicity 4)
2 Ni 0.126 0.126 0.626 (multiplicity 16)
3 Sb 0.250 0.250 0.250 (multiplicity 4)



[14]
A plane-wave DFT calculation with PBE was carried out for a relaxed structure of BeNiSb3.

Its crystal system is cubic. For the final energy, the calculation gives -3.6026 eV per atom. The value obtained for the size of the total moment is 0.00 Bohr magnetons per cell. As for the relative energy among the computed polymorphs: 29 meV per atom. For the calculated volume, the calculation gives 111.9 Å³ per cell. Its formation energy (no corrections) is 0.7723 eV per atom.

Lattice parameters (Å, degrees): 4.818 4.818 4.818 90.00 90.00 90.00
Space group Pm-3m (No. 221)
Unique sites:
1 Be 0.000 0.000 0.000 (multiplicity 1)
2 Ni 0.500 0.500 0.500 (multiplicity 1)
3 Sb 0.000 0.000 0.500 (multiplicity 3)